# InPH2 (PBE, relaxed)
# E above lowest polymorph ... 0 meV per atom
# Raw total energy ... -3.366 eV per atom
data_InPH2
_chemical_formula_sum 'In4 P4 H8'
_symmetry_space_group_name_H-M 'I 41/a m d'
_symmetry_Int_Tables_number 141
_cell_length_a 4.660
_cell_length_b 4.660
_cell_length_c 10.156
_cell_angle_alpha 90.00
_cell_angle_beta 90.00
_cell_angle_gamma 90.00
loop_
_symmetry_equiv_pos_as_xyz
'x,y,z'
'-x,-y,-z'
'-y+1/4,x+3/4,z+1/4'
'y+1/4,-x+3/4,-z+1/4'
'-x+1/2,-y,z+1/2'
'x+1/2,y,-z+1/2'
'y+1/4,-x+1/4,z+3/4'
'-y+1/4,x+1/4,-z+3/4'
'x,-y,-z'
'-x,y,z'
'-y+1/4,-x+1/4,-z+3/4'
'y+1/4,x+1/4,z+3/4'
'-x+1/2,y,-z+1/2'
'x+1/2,-y,z+1/2'
'y+1/4,x+3/4,-z+1/4'
'-y+1/4,-x+3/4,z+1/4'
'x+1/2,y+1/2,z+1/2'
'-x+1/2,-y+1/2,-z+1/2'
'-y+3/4,x+1/4,z+3/4'
'y+3/4,-x+1/4,-z+3/4'
'-x,-y+1/2,z'
'x,y+1/2,-z'
'y+3/4,-x+3/4,z+1/4'
'-y+3/4,x+3/4,-z+1/4'
'x+1/2,-y+1/2,-z+1/2'
'-x+1/2,y+1/2,z+1/2'
'-y+3/4,-x+3/4,-z+1/4'
'y+3/4,x+3/4,z+1/4'
'-x,y+1/2,-z'
'x,-y+1/2,z'
'y+3/4,x+1/4,-z+3/4'
'-y+3/4,-x+1/4,z+3/4'
loop_
_atom_site_label
_atom_site_type_symbol
_atom_site_fract_x
_atom_site_fract_y
_atom_site_fract_z
_atom_site_occupancy
In1 In 0.000 0.250 0.375 1
P1 P 0.000 0.250 0.875 1
H1 H 0.000 0.000 0.000 1


# Er2ZrAg (PBE, relaxed)
# E above lowest polymorph ... 402 meV per atom
# Energy of formation from the pure elements ... 25.66 kJ per mole of atoms
# Raw total energy ... -4.865 eV per atom
data_Er2ZrAg
_chemical_formula_sum 'Er6 Zr3 Ag3'
_symmetry_space_group_name_H-M 'R -3 m'
_symmetry_Int_Tables_number 166
_symmetry_space_group_name_Hall '-R 3 2"'
_cell_length_a 3.2207
_cell_length_b 3.2207
_cell_length_c 33.9750
_cell_angle_alpha 90.00
_cell_angle_beta 90.00
_cell_angle_gamma 120.00
loop_
_atom_site_label
_atom_site_type_symbol
_atom_site_fract_x
_atom_site_fract_y
_atom_site_fract_z
_atom_site_occupancy
Er1 Er 0.0000 0.0000 0.0926 1
Zr1 Zr 0.0000 0.0000 0.0000 1
Ag1 Ag 0.0000 0.0000 0.5000 1


# Ga2PtAuC (PBE, relaxed)
# Energy of formation from the pure elements ... 44.60 kJ per mole of atoms
# Raw total energy ... -4.457 eV per atom
data_Ga2PtAuC
_chemical_formula_sum 'Ga2 Pt1 Au1 C1'
_symmetry_space_group_name_H-M 'P 4/m m m'
_symmetry_Int_Tables_number 123
_symmetry_space_group_name_Hall '-P 4 2'
_cell_length_a 4.409
_cell_length_b 4.409
_cell_length_c 4.071
_cell_angle_alpha 90.00
_cell_angle_beta 90.00
_cell_angle_gamma 90.00
loop_
_atom_site_label
_atom_site_type_symbol
_atom_site_fract_x
_atom_site_fract_y
_atom_site_fract_z
_atom_site_occupancy
Ga1 Ga 0.000 0.500 0.000 1
Pt1 Pt 0.000 0.000 0.500 1
Au1 Au 0.500 0.500 0.500 1
C1 C 0.000 0.000 0.000 1


# TaCoSn2Ir (PBE, relaxed)
# Energy of formation from the pure elements ... 116.27 kJ per mole of atoms
# Raw total energy ... -5.960 eV per atom
data_TaCoSn2Ir
_chemical_formula_sum 'Ta1 Co1 Sn2 Ir1'
_symmetry_space_group_name_H-M 'P 4/m m m'
_symmetry_Int_Tables_number 123
_symmetry_space_group_name_Hall '-P 4 2'
_cell_length_a 5.021
_cell_length_b 5.021
_cell_length_c 4.459
_cell_angle_alpha 90.00
_cell_angle_beta 90.00
_cell_angle_gamma 90.00
loop_
_atom_site_label
_atom_site_type_symbol
_atom_site_fract_x
_atom_site_fract_y
_atom_site_fract_z
_atom_site_occupancy
Ta1 Ta 0.000 0.000 0.000 1
Co1 Co 0.500 0.500 0.000 1
Sn1 Sn 0.000 0.500 0.500 1
Ir1 Ir 0.500 0.500 0.500 1


# RbGeI2N (PBE, relaxed)
# E above lowest polymorph ... 0 meV per atom
# Raw total energy ... -3.466 eV per atom
# Formation energy without anion corrections ... -0.0641 eV/atom
data_RbGeI2N
_chemical_formula_sum 'Rb1 Ge1 I2 N1'
_symmetry_space_group_name_H-M 'P 4/m m m'
_symmetry_Int_Tables_number 123
_symmetry_space_group_name_Hall '-P 4 2'
_cell_length_a 6.592
_cell_length_b 6.592
_cell_length_c 3.574
_cell_angle_alpha 90.00
_cell_angle_beta 90.00
_cell_angle_gamma 90.00
loop_
_atom_site_label
_atom_site_type_symbol
_atom_site_fract_x
_atom_site_fract_y
_atom_site_fract_z
_atom_site_occupancy
Rb1 Rb 0.000 0.000 0.000 1
Ge1 Ge 0.500 0.500 0.500 1
I1 I 0.000 0.500 0.500 1
N1 N 0.500 0.500 0.000 1


# PmPuPF (PBE, relaxed)
# Raw total energy ... -8.129 eV per atom
# Formation energy without anion corrections ... -1.5383 eV/atom
data_PmPuPF
_chemical_formula_sum 'Pm4 Pu4 P4 F4'
_symmetry_space_group_name_H-M 'F -4 3 m'
_symmetry_Int_Tables_number 216
_symmetry_space_group_name_Hall 'F -4 2 3'
_cell_length_a 6.840
_cell_length_b 6.840
_cell_length_c 6.840
_cell_angle_alpha 90.00
_cell_angle_beta 90.00
_cell_angle_gamma 90.00
loop_
_atom_site_label
_atom_site_type_symbol
_atom_site_fract_x
_atom_site_fract_y
_atom_site_fract_z
_atom_site_occupancy
Pm1 Pm 0.000 0.000 0.000 1
Pu1 Pu 0.000 0.000 0.500 1
P1 P 0.250 0.250 0.750 1
F1 F 0.250 0.250 0.250 1


# V2MoS4 (PBE, relaxed)
# E above lowest polymorph ... 0 meV per atom
# Raw total energy ... -7.392 eV per atom
# Formation energy without anion corrections ... -0.8812 eV/atom
data_V2MoS4
_chemical_formula_sum 'V4 Mo2 S8'
_symmetry_space_group_name_H-M 'C 1 m 1'
_symmetry_Int_Tables_number 8
_cell_length_a 12.684
_cell_length_b 3.244
_cell_length_c 5.938
_cell_angle_alpha 90.00
_cell_angle_beta 114.76
_cell_angle_gamma 90.00
loop_
_symmetry_equiv_pos_as_xyz
'x,y,z'
'x,-y,z'
'x+1/2,y+1/2,z'
'x+1/2,-y+1/2,z'
loop_
_atom_site_label
_atom_site_type_symbol
_atom_site_fract_x
_atom_site_fract_y
_atom_site_fract_z
_atom_site_occupancy
V1 V 0.000 0.000 0.000 1
V2 V 0.241 0.500 0.673 1
Mo1 Mo 0.483 0.000 0.362 1
S1 S 0.105 0.000 0.707 1
S2 S 0.135 0.500 0.227 1
S3 S 0.347 0.500 0.116 1
S4 S 0.383 0.000 0.662 1


# GaAs2RhBr (PBE, relaxed)
# E above lowest polymorph ... 0 meV per atom
# Raw total energy ... -4.037 eV per atom
# Formation energy without anion corrections ... 0.2335 eV/atom
data_GaAs2RhBr
_chemical_formula_sum 'Ga1 As2 Rh1 Br1'
_symmetry_space_group_name_H-M 'P 4/m m m'
_symmetry_Int_Tables_number 123
_symmetry_space_group_name_Hall '-P 4 2'
_cell_length_a 4.730
_cell_length_b 4.730
_cell_length_c 5.763
_cell_angle_alpha 90.00
_cell_angle_beta 90.00
_cell_angle_gamma 90.00
loop_
_atom_site_label
_atom_site_type_symbol
_atom_site_fract_x
_atom_site_fract_y
_atom_site_fract_z
_atom_site_occupancy
Ga1 Ga 0.000 0.000 0.000 1
As1 As 0.000 0.500 0.500 1
Rh1 Rh 0.500 0.500 0.500 1
Br1 Br 0.500 0.500 0.000 1


# AlPdPt3 (PBE, relaxed)
# E above lowest polymorph ... 0 meV per atom
# Energy of formation from the pure elements ... -39.25 kJ per mole of atoms
# Raw total energy ... -5.818 eV per atom
data_AlPdPt3
_chemical_formula_sum 'Al4 Pd4 Pt12'
_symmetry_space_group_name_H-M 'P n m a'
_symmetry_Int_Tables_number 62
_cell_length_a 8.949
_cell_length_b 4.065
_cell_length_c 8.696
_cell_angle_alpha 90.00
_cell_angle_beta 90.00
_cell_angle_gamma 90.00
loop_
_symmetry_equiv_pos_as_xyz
'x,y,z'
'-x,-y,-z'
'-x+1/2,-y,z+1/2'
'x+1/2,y,-z+1/2'
'x+1/2,-y+1/2,-z+1/2'
'-x+1/2,y+1/2,z+1/2'
'-x,y+1/2,-z'
'x,-y+1/2,z'
loop_
_atom_site_label
_atom_site_type_symbol
_atom_site_fract_x
_atom_site_fract_y
_atom_site_fract_z
_atom_site_occupancy
Al1 Al 0.139 0.250 0.168 1
Pd1 Pd 0.248 0.250 0.530 1
Pt1 Pt 0.060 0.250 0.890 1
Pt2 Pt 0.078 0.750 0.653 1
Pt3 Pt 0.140 0.750 0.347 1


# Al2TlRu (PBE, relaxed)
# E above lowest polymorph ... 30 meV per atom
# Energy of formation from the pure elements ... -20.01 kJ per mole of atoms
# Raw total energy ... -4.989 eV per atom
data_Al2TlRu
_chemical_formula_sum 'Al2 Tl1 Ru1'
_symmetry_space_group_name_H-M 'P 4/m m m'
_symmetry_Int_Tables_number 123
_symmetry_space_group_name_Hall '-P 4 2'
_cell_length_a 3.067
_cell_length_b 3.067
_cell_length_c 7.944
_cell_angle_alpha 90.00
_cell_angle_beta 90.00
_cell_angle_gamma 90.00
loop_
_atom_site_label
_atom_site_type_symbol
_atom_site_fract_x
_atom_site_fract_y
_atom_site_fract_z
_atom_site_occupancy
Al1 Al 0.000 0.000 0.175 1
Tl1 Tl 0.500 0.500 0.500 1
Ru1 Ru 0.500 0.500 0.000 1


# RbBaCd2 (PBE, relaxed)
# E above lowest polymorph ... 0 meV per atom
# Energy of formation from the pure elements ... -12.02 kJ per mole of atoms
# Raw total energy ... -1.305 eV per atom
data_RbBaCd2
_chemical_formula_sum 'Rb1 Ba1 Cd2'
_symmetry_space_group_name_H-M 'P 4/m m m'
_symmetry_Int_Tables_number 123
_symmetry_space_group_name_Hall '-P 4 2'
_cell_length_a 4.299
_cell_length_b 4.299
_cell_length_c 9.054
_cell_angle_alpha 90.00
_cell_angle_beta 90.00
_cell_angle_gamma 90.00
loop_
_atom_site_label
_atom_site_type_symbol
_atom_site_fract_x
_atom_site_fract_y
_atom_site_fract_z
_atom_site_occupancy
Rb1 Rb 0.000 0.000 0.000 1
Ba1 Ba 0.000 0.000 0.500 1
Cd1 Cd 0.500 0.500 0.283 1


# HgPtF3 (PBE, relaxed)
# E above lowest polymorph ... 516 meV per atom
# Raw total energy ... -2.632 eV per atom
# Formation energy without anion corrections ... -0.2403 eV/atom
data_HgPtF3
_chemical_formula_sum 'Hg1 Pt1 F3'
_symmetry_space_group_name_H-M 'P m -3 m'
_symmetry_Int_Tables_number 221
_symmetry_space_group_name_Hall '-P 4 2 3'
_cell_length_a 4.510
_cell_length_b 4.510
_cell_length_c 4.510
_cell_angle_alpha 90.00
_cell_angle_beta 90.00
_cell_angle_gamma 90.00
loop_
_atom_site_label
_atom_site_type_symbol
_atom_site_fract_x
_atom_site_fract_y
_atom_site_fract_z
_atom_site_occupancy
Hg1 Hg 0.000 0.000 0.000 1
Pt1 Pt 0.500 0.500 0.500 1
F1 F 0.000 0.000 0.500 1


# CrCu2TcRh (PBE, relaxed)
# Energy of formation from the pure elements ... 139.47 kJ per mole of atoms
# Raw total energy ... -5.661 eV per atom
data_CrCu2TcRh
_chemical_formula_sum 'Cr1 Cu2 Tc1 Rh1'
_symmetry_space_group_name_H-M 'P 4/m m m'
_symmetry_Int_Tables_number 123
_symmetry_space_group_name_Hall '-P 4 2'
_cell_length_a 4.410
_cell_length_b 4.410
_cell_length_c 4.303
_cell_angle_alpha 90.00
_cell_angle_beta 90.00
_cell_angle_gamma 90.00
loop_
_atom_site_label
_atom_site_type_symbol
_atom_site_fract_x
_atom_site_fract_y
_atom_site_fract_z
_atom_site_occupancy
Cr1 Cr 0.000 0.000 0.000 1
Cu1 Cu 0.000 0.500 0.000 1
Tc1 Tc 0.500 0.500 0.500 1
Rh1 Rh 0.000 0.000 0.500 1